No. 1
DFT (GGA-PBE) results for a relaxed BaZnCl crystal.

## Properties
SG = F-43m
Magnetic moment = 0.254 μB per atom
Energy relative to the elements, uncorrected = -0.905 eV per atom
Density of states at the Fermi level = 0.4153 states/eV/atom
Energy above the lowest structure with this stoichiometry = 42.0 meV per atom

Cell lengths 5.273, 5.273, 5.273 Å; angles 60.00, 60.00, 60.00 degrees
Positions (direct):
1 Ba 0.000 0.000 0.000
2 Zn 0.500 0.500 0.500
3 Cl 0.250 0.250 0.250

***

No. 2
DFT (GGA-PBE) results for a relaxed SnAsIrBr2 crystal.

## Properties
SG = P4/mmm
Magnetic moment = 0.000 μB per atom
Energy relative to the elements, uncorrected = 0.290 eV per atom
Density of states at the Fermi level = 0.8916 states/eV/atom
Energy above the lowest structure with this stoichiometry = 0.0 meV per atom

Cell lengths 5.268, 5.268, 4.713 Å; angles 90.00, 90.00, 90.00 degrees
Positions (direct):
1 Sn 0.000 0.000 0.000
2 As 0.500 0.500 0.000
3 Ir 0.500 0.500 0.500
4 Br 0.000 0.500 0.500
5 Br 0.500 0.000 0.500

***

The highest magnetic moment belongs to which entry? BaZnCl

***

What is the energy above the lowest structure with this stoichiometry in the first record? 42.0 meV per atom

***

What did the second record say?
DFT (GGA-PBE) results for a relaxed SnAsIrBr2 crystal.

## Properties
SG = P4/mmm
Magnetic moment = 0.000 μB per atom
Energy relative to the elements, uncorrected = 0.290 eV per atom
Density of states at the Fermi level = 0.8916 states/eV/atom
Energy above the lowest structure with this stoichiometry = 0.0 meV per atom

Cell lengths 5.268, 5.268, 4.713 Å; angles 90.00, 90.00, 90.00 degrees
Positions (direct):
1 Sn 0.000 0.000 0.000
2 As 0.500 0.500 0.000
3 Ir 0.500 0.500 0.500
4 Br 0.000 0.500 0.500
5 Br 0.500 0.000 0.500